A plane-wave DFT calculation with PBE-GGA was carried out for a geometry-optimized Ho2Al2ZnRh5 structure.

Cell: 3.396 9.885 9.885 Å, 90.00 90.00 90.00°
Atoms (fractional coordinates):
Ho: 0.000 0.674 0.174
Ho: 0.000 0.326 0.826
Ho: 0.000 0.174 0.326
Ho: 0.000 0.826 0.674
Al: 0.000 0.127 0.627
Al: 0.000 0.873 0.373
Al: 0.000 0.627 0.873
Al: 0.000 0.373 0.127
Zn: 0.000 0.000 0.000
Zn: 0.000 0.500 0.500
Rh: 0.500 0.203 0.066
Rh: 0.500 0.797 0.934
Rh: 0.500 0.066 0.797
Rh: 0.500 0.703 0.434
Rh: 0.500 0.934 0.203
Rh: 0.500 0.297 0.566
Rh: 0.500 0.566 0.703
Rh: 0.500 0.434 0.297
Rh: 0.500 0.500 0.000
Rh: 0.500 0.000 0.500

Calculated values
Crystal system = tetragonal
VASP energy = -6.264 eV/atom
Volume = 332 Å³/cell
Total magnetization = 0.00 μB per atom
Space-group type = P4/mbm
Formation energy = -0.797 eV/atom